A plane-wave DFT calculation with GGA-PBE was carried out for a relaxed Ac2MgPb3 crystal.

Properties
- formation energy from the elements (eV per formula unit) = -2.06
- E_tot (eV/atom) = -3.8330

CIF file:
```
data_Ac2MgPb3
_chemical_formula_sum 'Ac2 Mg1 Pb3'
_symmetry_space_group_name_H-M 'P m m 2'
_symmetry_Int_Tables_number 25
_cell_length_a 4.426
_cell_length_b 5.054
_cell_length_c 9.134
_cell_angle_alpha 90.00
_cell_angle_beta 90.00
_cell_angle_gamma 90.00
loop_
_symmetry_equiv_pos_as_xyz
'x,y,z'
'-x,-y,z'
'-x,y,z'
'x,-y,z'
loop_
_atom_site_label
_atom_site_type_symbol
_atom_site_fract_x
_atom_site_fract_y
_atom_site_fract_z
Ac1 Ac 0.000 0.000 0.000
Ac2 Ac 0.000 0.500 0.477
Mg1 Mg 0.500 0.500 0.817
Pb1 Pb 0.500 0.000 0.331
Pb2 Pb 0.500 0.000 0.674
Pb3 Pb 0.500 0.500 0.133
```


A plane-wave DFT calculation with GGA-PBE was carried out for a relaxed AcMg2Pb3 crystal.

Properties
- formation energy from the elements (eV per formula unit) = -1.46
- E_tot (eV/atom) = -3.3138

CIF file:
```
data_AcMg2Pb3
_chemical_formula_sum 'Ac2 Mg4 Pb6'
_symmetry_space_group_name_H-M 'P m m n'
_symmetry_Int_Tables_number 59
_cell_length_a 5.116
_cell_length_b 14.615
_cell_length_c 4.744
_cell_angle_alpha 90.00
_cell_angle_beta 90.00
_cell_angle_gamma 90.00
loop_
_symmetry_equiv_pos_as_xyz
'x,y,z'
'-x,-y,-z'
'-x+1/2,-y+1/2,z'
'x+1/2,y+1/2,-z'
'x+1/2,-y,-z'
'-x+1/2,y,z'
'-x,y+1/2,-z'
'x,-y+1/2,z'
loop_
_atom_site_label
_atom_site_type_symbol
_atom_site_fract_x
_atom_site_fract_y
_atom_site_fract_z
Ac1 Ac 0.250 0.250 0.002
Mg1 Mg 0.250 0.571 0.000
Pb1 Pb 0.250 0.076 0.502
Pb2 Pb 0.250 0.750 0.498
```


A plane-wave DFT calculation with GGA-PBE was carried out for a relaxed Ac6Mg5Pb crystal.

Properties
- formation energy from the elements (eV per formula unit) = -1.80
- E_tot (eV/atom) = -3.1773

CIF file:
```
data_Ac6Mg5Pb
_chemical_formula_sum 'Ac6 Mg5 Pb1'
_symmetry_space_group_name_H-M 'P 1 2/m 1'
_symmetry_Int_Tables_number 10
_cell_length_a 5.836
_cell_length_b 8.209
_cell_length_c 9.255
_cell_angle_alpha 90.00
_cell_angle_beta 108.29
_cell_angle_gamma 90.00
loop_
_symmetry_equiv_pos_as_xyz
'x,y,z'
'-x,-y,-z'
'-x,y,-z'
'x,-y,z'
loop_
_atom_site_label
_atom_site_type_symbol
_atom_site_fract_x
_atom_site_fract_y
_atom_site_fract_z
Ac1 Ac 0.000 0.249 0.000
Ac2 Ac 0.334 0.253 0.667
Mg1 Mg 0.166 0.500 0.332
Mg2 Mg 0.172 0.000 0.345
Mg3 Mg 0.500 0.500 0.000
Pb1 Pb 0.500 0.000 0.000
```